(1)
BeNiRu2 | GGA-PBEsol | relaxed

Crystal system   orthorhombic
Spin magnetization   0.004 Bohr magnetons per cell
Calculated formation energy   0.21 eV per atom
Space group   Pmmm (47)

a b c (Å): 2.7968 4.0282 4.1894
angles (deg): 90.00 90.00 90.00
Fractional positions:
Ru 0.5000 0.0000 0.5000
Be 0.5000 0.5000 0.0000
Ru 0.0000 0.0000 0.0000
Ni 0.0000 0.5000 0.5000



(2)
MgTe2W | GGA-PBEsol | relaxed

Crystal system   orthorhombic
Spin magnetization   0.000 Bohr magnetons per cell
Formation energy without anion corrections   0.77 eV per formula unit
Space group   Imm2 (44)

a b c (Å): 3.4683 3.7155 7.3539
angles (deg): 104.63 103.64 90.00
Fractional positions:
W 0.4559 0.4559 0.9118
Mg 0.2010 0.7010 0.4020
Te 0.8042 0.3042 0.6085
Te 0.0388 0.0388 0.0777



(3)
HgBiB2 | GGA-PBEsol | relaxed

Crystal system   tetragonal
Spin magnetization   0.000 Bohr magnetons per cell
Calculated formation energy   1.15 eV per atom
Energy above the lowest structure with this stoichiometry   0 meV per atom
Space group   I-42d (122)

a b c (Å): 5.0656 5.0656 6.8773
angles (deg): 111.61 111.61 90.00
Fractional positions:
Hg 0.7500 0.2500 0.5000
Hg 0.5000 0.5000 0.0000
B 0.8474 0.3750 0.2500
B 0.1250 0.1526 0.7500
Bi 0.2500 0.7500 0.5000
B 0.6250 0.5974 0.7500
Bi 0.0000 0.0000 0.0000
B 0.4026 0.8750 0.2500



(4)
TcSbH2 | GGA-PBEsol | relaxed

Crystal system   tetragonal
Spin magnetization   0.000 Bohr magnetons per cell
Energy   -5.681 eV per atom
Space group   I4mm (107)

a b c (Å): 3.2213 3.2213 4.8597
angles (deg): 109.36 109.36 90.00
Fractional positions:
Tc 0.7125 0.7125 0.4250
Sb 0.3915 0.3915 0.7831
H 0.1212 0.6212 0.2425
H 0.6212 0.1212 0.2425



(5)
Ba2AsRh | GGA-PBEsol | relaxed

Crystal system   tetragonal
Spin magnetization   0.011 Bohr magnetons per cell
Calculated formation energy   -0.23 eV per atom
Space group   P4mm (99)

a b c (Å): 3.5805 3.5805 9.3464
angles (deg): 90.00 90.00 90.00
Fractional positions:
Rh 0.0000 0.0000 0.5897
Ba 0.0000 0.0000 0.9085
As 0.5000 0.5000 0.6670
Ba 0.5000 0.5000 0.3348



(6)
Cr2CuAs | GGA-PBEsol | relaxed

Crystal system   orthorhombic
Spin magnetization   0.002 Bohr magnetons per cell
Calculated formation energy   0.21 eV per atom
Space group   Imm2 (44)

a b c (Å): 3.0900 4.0020 4.6287
angles (deg): 115.61 109.50 90.00
Fractional positions:
Cr 0.7387 0.2387 0.4774
As 0.2519 0.7519 0.5039
Cr 0.0037 0.0037 0.0074
Cu 0.5057 0.5057 0.0114